# 1
10
Lattice="7.1094 0.0000 0.0000 0.0000 7.1094 0.0000 0.0000 0.0000 4.4105" Properties=species:S:1:pos:R:3 comment="SiSb2Au2 (GGA-PBE, optimized geometry)" e_tot_ev_per_atom=-3.7839 volume_a3_per_atom=22.29 raw_formation_energy_ev_per_atom=0.26 crystal_system=tetragonal sg="P4/mbm, No. 127" m_tot_mub_per_cell=0.0 de_polymorph_kj_per_mol_atoms=0.0 pbc="T T T"
Si 0.0000 0.0000 0.0000
Si 3.5547 3.5547 0.0000
Sb 1.2465 2.3082 2.2053
Sb 2.3082 5.8630 2.2053
Sb 4.8012 1.2465 2.2053
Sb 5.8630 4.8012 2.2053
Au 1.0131 4.5679 0.0000
Au 2.5416 1.0131 0.0000
Au 4.5679 6.0963 0.0000
Au 6.0963 2.5416 0.0000

---

# 2
18
Lattice="6.6210 -5.0316 0.0000 6.6210 5.0316 0.0000 -4.2883 0.0000 9.8653" Properties=species:S:1:pos:R:3 comment="Ac5SmIr3 (GGA-PBE, optimized geometry)" formation_enthalpy_0k_ev_per_atom=-0.56 e_tot_ev_per_atom=-6.3209 volume_a3_per_atom=36.52 crystal_system=monoclinic sg="C2/m, No. 12" m_tot_mub_per_cell=0.0 pbc="T T T"
Ac -0.7548 0.0000 3.5808
Ac 2.9377 1.9968 3.3360
Ac 6.6210 2.9928 0.0000
Ac -0.5878 0.0000 9.5077
Ac 6.0161 1.9968 6.5293
Ac 2.9377 -1.9968 3.3360
Ac 9.5415 0.0000 0.3576
Ac 6.6210 -2.9928 0.0000
Ac 6.0161 -1.9968 6.5293
Ac 9.7086 0.0000 6.2845
Sm 2.3285 0.0000 6.9394
Sm 6.6253 0.0000 2.9259
Ir 1.4792 0.0000 1.6363
Ir -0.5184 0.0000 6.5248
Ir 6.6210 0.0000 0.0000
Ir 4.4769 0.0000 4.9326
Ir 9.4721 0.0000 3.3405
Ir 7.4745 0.0000 8.2290

---

# 3
5
Lattice="3.7392 0.0000 0.0000 0.0000 3.7392 0.0000 0.0000 0.0000 3.5135" Properties=species:S:1:pos:R:3 comment="ZrSiN2F (GGA-PBE, optimized geometry)" e_tot_ev_per_atom=-7.4069 volume_a3_per_atom=9.82 raw_formation_energy_ev_per_atom=-0.91 crystal_system=tetragonal sg="P4/mmm, No. 123" m_tot_mub_per_cell=0.6 de_polymorph_kj_per_mol_atoms=0.0 pbc="T T T"
Zr 0.0000 0.0000 0.0000
Si 1.8696 1.8696 1.7567
N 0.0000 1.8696 1.7567
N 1.8696 0.0000 1.7567
F 1.8696 1.8696 0.0000

---

# 4
7
Lattice="4.6236 0.0000 0.0000 0.0000 4.6236 0.0000 0.0000 0.0000 8.0633" Properties=species:S:1:pos:R:3 comment="TmZrCd5 (GGA-PBE, optimized geometry)" formation_enthalpy_0k_ev_per_atom=0.05 e_tot_ev_per_atom=-2.4653 volume_a3_per_atom=24.63 crystal_system=tetragonal sg="P4/mmm, No. 123" m_tot_mub_per_cell=0.0 pbc="T T T"
Tm 0.0000 0.0000 0.0000
Zr 2.3118 2.3118 4.0316
Cd 0.0000 0.0000 4.0316
Cd 0.0000 2.3118 2.0307
Cd 0.0000 2.3118 6.0326
Cd 2.3118 0.0000 2.0307
Cd 2.3118 0.0000 6.0326